[1]
K3Sn2S3BrO12: PBEsol geometry, meta-GGA SCAN.

Properties
The value obtained for the electronic total energy is -12.263 eV/atom. For the density, the calculation gives 3.523 g/cm3. For the uncorrected formation energy, the calculation gives -1789 meV/atom. The value obtained for the spin magnetization is 0.00 μB/f.u.

a b c (Å): 10.103 7.541 10.258
angles (deg): 90.00 119.33 90.00
Sites, in units of the cell vectors:
K: 0.010 0.000 0.257
K: 0.320 0.259 0.669
K: 0.326 0.773 0.662
K: 0.674 0.273 0.338
K: 0.680 0.759 0.331
K: 0.990 0.500 0.743
Sn: 0.245 0.475 0.260
Sn: 0.268 0.976 0.011
Sn: 0.732 0.476 0.989
Sn: 0.755 0.975 0.740
S: 0.045 0.509 0.400
S: 0.391 0.531 0.975
S: 0.410 0.028 0.376
S: 0.590 0.528 0.624
S: 0.609 0.031 0.025
S: 0.955 0.009 0.600
Br: 0.002 0.267 0.013
Br: 0.998 0.767 0.987
O: 0.101 0.664 0.351
O: 0.103 0.515 0.562
O: 0.116 0.349 0.365
O: 0.121 0.995 0.684
O: 0.281 0.386 0.929
O: 0.309 0.706 0.935
O: 0.333 0.013 0.466
O: 0.354 0.886 0.257
O: 0.378 0.203 0.298
O: 0.422 0.507 0.530
O: 0.472 0.520 0.884
O: 0.497 0.025 0.865
O: 0.503 0.525 0.135
O: 0.528 0.020 0.116
O: 0.578 0.007 0.470
O: 0.622 0.703 0.702
O: 0.646 0.386 0.743
O: 0.667 0.513 0.534
O: 0.691 0.206 0.065
O: 0.719 0.886 0.071
O: 0.879 0.495 0.316
O: 0.884 0.849 0.635
O: 0.897 0.015 0.438
O: 0.899 0.164 0.649

[2]
SbAu: PBEsol geometry, meta-GGA SCAN.

Properties
The value obtained for the electronic total energy is -53.328 eV/atom. For the density, the calculation gives 10.856 g/cm3. For the uncorrected formation energy, the calculation gives -119 meV/atom. The value obtained for the spin magnetization is 0.00 μB/f.u.

a b c (Å): 4.728 4.728 4.773
angles (deg): 90.00 90.00 113.95
Sites, in units of the cell vectors:
Sb: 0.228 0.772 0.750
Sb: 0.772 0.228 0.250
Au: 0.406 0.594 0.250
Au: 0.594 0.406 0.750

[3]
In2CoTc: PBEsol geometry, meta-GGA SCAN.

Properties
The value obtained for the electronic total energy is -29.479 eV/atom. For the density, the calculation gives 9.615 g/cm3. The value obtained for the calculated formation energy is 1.22 eV/f.u. The value obtained for the spin magnetization is 0.00 μB/f.u. The energy above the most stable polymorph in this dataset comes out at 0 meV/atom.

a b c (Å): 2.880 2.880 8.047
angles (deg): 90.00 90.00 90.00
Sites, in units of the cell vectors:
In: 0.000 0.000 0.000
In: 0.500 0.500 0.343
Co: 0.500 0.500 0.773
Tc: 0.000 0.000 0.598

[4]
BaOsSCl2: PBEsol geometry, meta-GGA SCAN.

Properties
The value obtained for the electronic total energy is -28.343 eV/atom. For the density, the calculation gives 6.333 g/cm3. For the uncorrected formation energy, the calculation gives -940 meV/atom. The value obtained for the spin magnetization is 0.00 μB/f.u.

a b c (Å): 5.041 5.041 4.441
angles (deg): 90.00 90.00 90.00
Sites, in units of the cell vectors:
Ba: 0.000 0.000 0.000
Os: 0.500 0.500 0.500
S: 0.500 0.500 0.000
Cl: 0.000 0.500 0.500
Cl: 0.500 0.000 0.500

[5]
Zr2AlCl: PBEsol geometry, meta-GGA SCAN.

Properties
The value obtained for the electronic total energy is -19.186 eV/atom. For the density, the calculation gives 4.898 g/cm3. For the uncorrected formation energy, the calculation gives 96 meV/atom. The value obtained for the spin magnetization is 0.00 μB/f.u.

a b c (Å): 10.132 10.132 10.132
angles (deg): 156.44 156.44 33.56
Sites, in units of the cell vectors:
Zr: 0.124 0.625 0.999
Zr: 0.375 0.374 0.499
Zr: 0.626 0.125 0.001
Zr: 0.875 0.876 0.501
Al: 0.250 0.750 0.500
Al: 0.500 0.500 0.000
Cl: 0.000 0.000 0.000
Cl: 0.750 0.250 0.500

[6]
SrCaYTi2: PBEsol geometry, meta-GGA SCAN.

Properties
The value obtained for the electronic total energy is -17.153 eV/atom. For the density, the calculation gives 3.577 g/cm3. The value obtained for the calculated formation energy is 6.08 eV/f.u. The value obtained for the spin magnetization is 3.07 μB/f.u.

a b c (Å): 5.106 5.106 5.562
angles (deg): 90.00 90.00 90.00
Sites, in units of the cell vectors:
Sr: 0.000 0.000 0.000
Ca: 0.500 0.500 0.500
Y: 0.500 0.500 0.000
Ti: 0.000 0.500 0.500
Ti: 0.500 0.000 0.500

[7]
HgPt2RhI: PBEsol geometry, meta-GGA SCAN.

Properties
The value obtained for the electronic total energy is -54.745 eV/atom. For the density, the calculation gives 11.572 g/cm3. For the uncorrected formation energy, the calculation gives 1068 meV/atom. The value obtained for the spin magnetization is 1.79 μB/f.u.

a b c (Å): 4.852 4.852 5.002
angles (deg): 90.00 90.00 90.00
Sites, in units of the cell vectors:
Hg: 0.000 0.000 0.000
Pt: 0.000 0.500 0.500
Pt: 0.500 0.000 0.500
Rh: 0.500 0.500 0.500
I: 0.500 0.500 0.000

[8]
Li2TeAu: PBEsol geometry, meta-GGA SCAN.

Properties
The value obtained for the electronic total energy is -28.291 eV/atom. For the density, the calculation gives 7.504 g/cm3. For the uncorrected formation energy, the calculation gives -494 meV/atom. The value obtained for the spin magnetization is 0.00 μB/f.u. The energy above the most stable polymorph in this dataset comes out at 171 meV/atom.

a b c (Å): 3.490 3.490 6.149
angles (deg): 90.00 90.00 90.00
Sites, in units of the cell vectors:
Li: 0.000 0.000 0.000
Li: 0.500 0.500 0.274
Te: 0.000 0.000 0.511
Au: 0.500 0.500 0.855